1.
# MgBi2O5

A relaxed structure of MgBi2O5 (PBE-GGA, Alexandria).

```
16
Lattice="-2.792 0.835 -5.096 4.822 -2.796 1.842 -5.918 -9.044 1.760" Properties=species:S:1:pos:R:3 pbc="T T T"
O -5.382 -6.830 -2.092
O -2.937 -4.062 -2.235
O 0.761 -8.161 2.543
O -3.055 -0.408 -4.511
O -4.649 -2.845 -4.037
O 1.494 -4.176 0.598
O -0.951 -6.944 0.741
O -2.946 -9.991 1.334
O -0.834 -10.598 3.017
O -0.943 -1.014 -2.828
Mg -2.849 -2.105 -3.360
Mg -1.039 -8.901 1.866
Bi -5.113 -4.831 -3.129
Bi -7.235 -8.073 -2.497
Bi 1.225 -6.175 1.635
Bi 3.347 -2.932 1.004
```

Its formation energy (no corrections) is -1.369 eV/atom. The value obtained for the offset from the most stable computed form is 0 meV/atom. Its raw total energy is -5.6376 eV per atom.



2.
# Y4ZrPa3N8

A relaxed structure of Y4ZrPa3N8 (PBE-GGA, Alexandria).

```
16
Lattice="6.918 0.000 0.000 0.000 6.931 0.005 -3.459 -3.455 4.894" Properties=species:S:1:pos:R:3 pbc="T T T"
N 1.729 1.810 0.055
N 0.000 3.394 2.396
N 3.459 3.429 2.422
N 1.730 1.666 4.844
N 5.189 1.810 0.055
N 0.000 0.046 2.477
N 3.459 0.081 2.503
N -1.730 1.666 4.844
Y 3.459 0.000 0.000
Y 0.000 0.000 0.000
Y 1.730 -1.728 2.447
Y -1.730 -1.728 2.447
Pa 3.459 3.465 0.002
Pa 1.730 1.738 2.449
Pa -1.730 1.738 2.449
Zr 0.000 3.465 0.002
```

Its formation energy (no corrections) is -1.669 eV/atom. Its raw total energy is -9.7624 eV per atom.



3.
# LaHoBi

A relaxed structure of LaHoBi (PBE-GGA, Alexandria).

```
6
Lattice="-0.955 6.023 0.141 -0.810 -0.048 -3.446 -8.041 -4.452 3.770" Properties=species:S:1:pos:R:3 pbc="T T T"
La -3.448 2.524 0.776
La -6.358 -1.000 -0.310
Bi -3.165 -0.477 -1.068
Bi -6.640 2.000 1.533
Ho -1.117 4.470 -1.618
Ho -0.647 1.506 -1.687
```

Its energy of formation from the pure elements is -340 meV per atom. Its raw total energy is -4.8025 eV per atom.



4.
# Sc4CoP

A relaxed structure of Sc4CoP (PBE-GGA, Alexandria).

```
6
Lattice="0.000 3.912 3.912 3.912 0.000 3.912 3.912 3.912 0.000" Properties=species:S:1:pos:R:3 pbc="T T T"
Sc 2.938 4.886 4.886
Sc 4.886 4.886 2.938
Sc 2.938 2.938 2.938
Sc 4.886 2.938 4.886
Co 5.868 5.868 5.868
P 0.000 0.000 0.000
```

Its energy of formation from the pure elements is 539 meV per atom. Its raw total energy is -5.7678 eV per atom.



5.
# ScBeRu2

A relaxed structure of ScBeRu2 (PBE-GGA, Alexandria).

```
4
Lattice="-0.569 0.276 -4.281 -3.956 -0.463 -1.692 -2.042 3.418 -1.696" Properties=species:S:1:pos:R:3 pbc="T T T"
Sc -4.925 2.422 -5.752
Ru -1.642 0.807 -1.917
Ru 0.000 0.000 0.000
Be -3.283 1.615 -3.834
```

Its energy of formation from the pure elements is -42 meV per atom. Its raw total energy is -7.1942 eV per atom.



6.
# CsLiNd2Br8

A relaxed structure of CsLiNd2Br8 (PBE-GGA, Alexandria).

```
12
Lattice="7.357 0.528 -0.006 0.651 7.283 -0.009 0.009 0.012 9.110" Properties=species:S:1:pos:R:3 pbc="T T T"
Nd 4.005 3.908 2.164
Nd 4.011 3.915 6.931
Br 2.882 2.283 9.105
Br 5.135 5.541 -0.009
Br 1.669 5.524 1.826
Br 5.001 5.461 4.544
Br 6.347 2.299 7.270
Br 6.340 2.289 1.826
Br 1.677 5.534 7.270
Br 3.015 2.362 4.551
Li 0.000 0.000 0.000
Cs 0.004 0.006 4.555
```

Its formation energy (no corrections) is -1.754 eV/atom. Its raw total energy is -3.8942 eV per atom.



7.
# SrMg2HgW

A relaxed structure of SrMg2HgW (PBE-GGA, Alexandria).

```
5
Lattice="-1.601 5.527 3.237 -3.499 1.747 -4.714 -5.177 -3.082 2.701" Properties=species:S:1:pos:R:3 pbc="T T T"
Mg -0.801 2.764 1.619
Mg -2.589 -1.541 1.350
W -1.749 0.873 -2.357
Hg -5.139 2.096 0.612
Sr 0.000 0.000 0.000
```

Its energy of formation from the pure elements is 1887 meV per atom. The value obtained for the offset from the most stable computed form is 749 meV/atom. Its raw total energy is -1.7384 eV per atom.



8.
# FeCuSi2

A relaxed structure of FeCuSi2 (PBE-GGA, Alexandria).

```
4
Lattice="2.746 0.000 0.000 0.000 4.607 -0.006 0.000 2.998 3.766" Properties=species:S:1:pos:R:3 pbc="T T T"
Fe 0.000 1.499 1.883
Si 1.373 2.303 -0.003
Si 0.000 0.000 0.000
Cu 1.373 3.802 1.880
```

Its formation energy (no corrections) is -0.034 eV/atom. Its raw total energy is -5.8853 eV per atom.



9.
# NpNiSbRh

A relaxed structure of NpNiSbRh (PBE-GGA, Alexandria).

```
4
Lattice="-3.606 -1.691 -2.457 0.758 -2.158 -4.083 -0.627 -4.625 -0.354" Properties=species:S:1:pos:R:3 pbc="T T T"
Rh 0.000 0.000 0.000
Sb -0.869 -2.119 -1.724
Ni -1.738 -4.237 -3.447
Np -2.607 -6.356 -5.171
```

Its formation energy (no corrections) is -0.233 eV/atom. Its raw total energy is -7.7816 eV per atom.



10.
# LiAcGePd

A relaxed structure of LiAcGePd (PBE-GGA, Alexandria).

```
4
Lattice="4.931 0.000 0.000 2.466 4.270 0.000 2.466 1.423 4.026" Properties=species:S:1:pos:R:3 pbc="T T T"
Pd 0.000 0.000 0.000
Ge 2.466 1.423 1.007
Li 4.931 2.847 2.013
Ac 7.397 4.270 3.020
```

Its energy of formation from the pure elements is -532 meV per atom. Its raw total energy is -4.4905 eV per atom.



11.
# TbPbS3

A relaxed structure of TbPbS3 (PBE-GGA, Alexandria).

```
10
Lattice="4.117 0.000 0.000 0.000 9.371 0.797 0.000 -1.179 6.896" Properties=species:S:1:pos:R:3 pbc="T T T"
S 3.088 1.846 7.141
S 1.029 2.498 4.371
S 3.088 0.021 2.006
S 1.029 8.171 5.686
S 3.088 5.694 3.321
S 1.029 6.347 0.551
Tb 3.088 0.508 4.652
Tb 1.029 7.685 3.041
Pb 1.029 3.882 1.924
Pb 3.088 4.311 5.769
```

Its formation energy (no corrections) is -1.055 eV/atom. Its raw total energy is -5.1989 eV per atom.



12.
# Sb2AuIF

A relaxed structure of Sb2AuIF (PBE-GGA, Alexandria).

```
5
Lattice="5.374 0.000 0.000 0.000 5.374 0.000 0.000 0.000 5.667" Properties=species:S:1:pos:R:3 pbc="T T T"
F 2.687 2.687 2.833
I 0.000 0.000 2.833
Sb 0.000 2.687 0.000
Sb 2.687 0.000 0.000
Au 0.000 0.000 0.000
```

Its formation energy (no corrections) is 0.283 eV/atom. The value obtained for the offset from the most stable computed form is 140 meV/atom. Its raw total energy is -2.7057 eV per atom.



13.
# GaRhN

A relaxed structure of GaRhN (PBE-GGA, Alexandria).

```
6
Lattice="2.854 0.000 0.000 0.000 2.854 0.000 -1.427 -1.427 10.184" Properties=species:S:1:pos:R:3 pbc="T T T"
Ga 0.000 0.000 2.199
Ga 1.427 1.427 7.986
N 1.427 1.427 1.958
N 0.000 0.000 8.226
Rh 1.427 1.427 4.153
Rh 0.000 0.000 6.031
```

Its formation energy (no corrections) is 0.300 eV/atom. Its raw total energy is -5.9349 eV per atom.



14.
# NiBS2N

A relaxed structure of NiBS2N (PBE-GGA, Alexandria).

```
5
Lattice="4.800 0.000 0.000 0.000 4.800 0.000 0.000 0.000 2.676" Properties=species:S:1:pos:R:3 pbc="T T T"
S 2.400 0.000 0.000
S 0.000 2.400 0.000
B 0.000 0.000 0.000
Ni 2.400 2.400 1.338
N 0.000 0.000 1.338
```

Its formation energy (no corrections) is 0.530 eV/atom. The value obtained for the offset from the most stable computed form is 0 meV/atom. Its raw total energy is -5.2774 eV per atom.



15.
# Li5BiO4

A relaxed structure of Li5BiO4 (PBE-GGA, Alexandria).

```
80
Lattice="4.879 0.000 0.000 0.000 13.613 0.000 0.000 0.000 13.613" Properties=species:S:1:pos:R:3 pbc="T T T"
O 3.131 6.806 1.636
O 1.404 11.716 10.016
O 1.036 4.909 3.209
O 3.844 10.403 8.703
O 3.480 0.000 1.607
O 1.036 8.703 3.209
O 4.188 0.000 5.170
O 1.404 1.897 10.016
O 3.475 10.016 11.716
O 0.691 5.170 0.000
O 4.188 0.000 8.443
O 3.475 10.016 1.897
O 3.475 3.597 1.897
O 3.844 3.209 8.703
O 3.844 3.209 4.909
O 1.036 4.909 10.403
O 3.839 6.806 5.199
O 1.036 8.703 10.403
O 3.839 6.806 8.414
O 3.475 3.597 11.716
O 1.404 1.897 3.597
O 1.404 11.716 3.597
O 3.480 0.000 12.005
O 1.041 5.199 6.806
O 3.844 10.403 4.909
O 3.131 6.806 11.976
O 1.748 1.636 6.806
O 1.399 1.607 0.000
O 1.399 12.005 0.000
O 0.691 8.443 0.000
O 1.748 11.976 6.806
O 1.041 8.414 6.806
Li 0.000 8.569 5.044
Li 0.000 8.569 8.569
Li 2.027 4.827 12.113
Li 4.467 5.307 11.634
Li 2.852 1.499 4.827
Li 2.440 10.062 10.062
Li 2.440 11.850 1.762
Li 0.413 1.979 5.307
Li 0.000 3.256 10.357
Li 0.576 0.000 6.806
Li 2.440 10.062 3.551
Li 2.440 1.762 1.762
Li 0.000 10.357 3.256
Li 0.000 3.256 3.256
Li 3.015 0.000 6.806
Li 4.467 8.306 11.634
Li 0.000 10.357 10.357
Li 2.440 0.000 0.000
Li 2.440 1.762 11.850
Li 4.304 6.806 0.000
Li 2.027 8.785 1.499
Li 2.852 12.113 8.785
Li 2.027 8.785 12.113
Li 2.440 3.551 10.062
Li 0.413 1.979 8.306
Li 1.864 6.806 0.000
Li 2.852 12.113 4.827
Li 0.413 11.634 8.306
Li 4.467 8.306 1.979
Li 2.027 4.827 1.499
Li 2.852 1.499 8.785
Li 2.440 3.551 3.551
Li 0.000 6.806 6.806
Li 0.413 11.634 5.307
Li 4.467 5.307 1.979
Li 0.000 0.000 0.000
Li 0.000 5.044 8.569
Li 2.440 6.806 6.806
Li 2.440 11.850 11.850
Li 0.000 5.044 5.044
Bi 4.577 3.075 0.000
Bi 4.577 10.538 0.000
Bi 2.138 6.806 3.731
Bi 2.742 3.731 6.806
Bi 0.302 0.000 3.075
Bi 2.138 6.806 9.881
Bi 2.742 9.881 6.806
Bi 0.302 0.000 10.538
```

Its formation energy (no corrections) is -1.670 eV/atom. The value obtained for the offset from the most stable computed form is 0 meV/atom. Its raw total energy is -4.9978 eV per atom.



16.
# SrScBeRu2

A relaxed structure of SrScBeRu2 (PBE-GGA, Alexandria).

```
5
Lattice="-1.442 -1.716 4.263 2.534 -3.842 -0.690 3.774 2.107 2.125" Properties=species:S:1:pos:R:3 pbc="T T T"
Be 1.267 -1.921 -0.345
Sc 2.433 -1.726 2.849
Ru -0.721 -0.858 2.131
Ru 1.887 1.053 1.062
Sr 0.000 0.000 0.000
```

Its energy of formation from the pure elements is 1879 meV per atom. Its raw total energy is -4.1796 eV per atom.



17.
# YAs2SeCl

A relaxed structure of YAs2SeCl (PBE-GGA, Alexandria).

```
5
Lattice="5.549 0.000 0.000 0.000 5.549 0.000 0.000 0.000 5.318" Properties=species:S:1:pos:R:3 pbc="T T T"
Cl 2.774 2.774 2.659
As 2.774 0.000 0.000
As 0.000 2.774 0.000
Se 0.000 0.000 2.659
Y 0.000 0.000 0.000
```

Its formation energy (no corrections) is 0.203 eV/atom. The value obtained for the offset from the most stable computed form is 53 meV/atom. Its raw total energy is -4.0161 eV per atom.



18.
# Th3Tc2

A relaxed structure of Th3Tc2 (PBE-GGA, Alexandria).

```
5
Lattice="-2.780 1.645 -1.489 -2.003 -2.887 0.550 -0.170 4.026 9.010" Properties=species:S:1:pos:R:3 pbc="T T T"
Tc -2.049 2.724 6.833
Tc -2.903 0.059 1.237
Th 0.000 0.000 0.000
Th -0.959 1.275 3.198
Th -3.994 1.509 4.873
```

Its energy of formation from the pure elements is -75 meV per atom. Its raw total energy is -8.6728 eV per atom.



19.
# BeTlSe2

A relaxed structure of BeTlSe2 (PBE-GGA, Alexandria).

```
4
Lattice="3.955 -0.056 0.008 2.365 3.171 0.008 0.766 0.377 7.104" Properties=species:S:1:pos:R:3 pbc="T T T"
Se 6.050 2.982 1.198
Se 5.549 2.735 5.799
Tl 3.794 1.870 3.591
Be 1.557 0.767 0.109
```

Its formation energy (no corrections) is -0.272 eV/atom. The value obtained for the offset from the most stable computed form is 138 meV/atom. Its raw total energy is -3.5377 eV per atom.



20.
# ReAg2As

A relaxed structure of ReAg2As (PBE-GGA, Alexandria).

```
4
Lattice="9.144 -0.011 -0.007 8.658 2.941 -0.007 8.658 1.425 2.573" Properties=species:S:1:pos:R:3 pbc="T T T"
Ag 6.635 1.092 0.642
Ag 0.082 0.013 0.008
As 12.960 2.133 1.254
Re 20.012 3.293 1.936
```

Its energy of formation from the pure elements is 289 meV per atom. Its raw total energy is -5.4113 eV per atom.